(A)
PBE NdSmY, relaxed; volume = 33.7 Å³/atom; spin magnetization = 0.00 μB per cell
1.0
3.628 0.000 0.000
-1.814 3.142 0.000
0.000 0.000 8.874
Nd Sm Y
1 1 1
Direct
0.000 0.000 0.000
0.667 0.333 0.339
0.333 0.667 0.667



(B)
PBE NdSmY, relaxed; volume = 33.9 Å³/atom; spin magnetization = 0.00 μB per cell
1.0
1.775 -10.355 0.000
1.775 10.355 0.000
0.000 0.000 5.526
Nd Sm Y
2 2 2
Direct
0.117 0.883 0.750
0.883 0.117 0.250
0.292 0.708 0.750
0.708 0.292 0.250
0.458 0.542 0.750
0.542 0.458 0.250



Computed relative energies in units of kJ/mol of atoms: (A) 0.0; (B) 3.2



(A)
PBE Nd4Sm2Y3, relaxed; volume = 33.8 Å³/atom; spin magnetization = 0.00 μB per cell
1.0
8.257 -5.926 0.000
8.257 5.926 0.000
-0.683 0.000 6.219
Nd Sm Y
8 4 6
Direct
0.092 0.811 0.985
0.145 0.427 0.152
0.189 0.908 0.515
0.427 0.145 0.652
0.573 0.855 0.348
0.811 0.092 0.485
0.855 0.573 0.848
0.908 0.189 0.015
0.243 0.521 0.682
0.479 0.757 0.818
0.521 0.243 0.182
0.757 0.479 0.318
0.066 0.269 0.580
0.269 0.066 0.080
0.399 0.601 0.250
0.601 0.399 0.750
0.731 0.934 0.920
0.934 0.731 0.420



(B)
PBE Nd4Sm2Y3, relaxed; volume = 34.0 Å³/atom; spin magnetization = 0.00 μB per cell
1.0
8.742 -1.800 0.000
8.742 1.800 0.000
-1.774 0.000 9.717
Nd Sm Y
4 2 3
Direct
0.001 0.001 0.169
0.163 0.163 0.719
0.837 0.837 0.281
0.999 0.999 0.831
0.176 0.176 0.379
0.824 0.824 0.621
0.338 0.338 0.957
0.500 0.500 0.500
0.662 0.662 0.043



Computed relative energies in units of kJ/mol of atoms: (A) 3.9; (B) 0.0



(A)
PBE NdSm7Y2, relaxed; volume = 41.1 Å³/atom; spin magnetization = 0.00 μB per cell
1.0
4.346 -8.536 0.000
4.346 8.536 0.000
0.000 0.000 5.542
Nd Sm Y
1 7 2
Direct
0.000 0.000 0.000
0.067 0.289 0.500
0.206 0.794 0.000
0.289 0.067 0.500
0.500 0.500 0.500
0.711 0.933 0.500
0.794 0.206 0.000
0.933 0.711 0.500
0.294 0.706 0.500
0.706 0.294 0.500



(B)
PBE NdSm7Y2, relaxed; volume = 33.6 Å³/atom; spin magnetization = 0.00 μB per cell
1.0
9.245 -2.560 0.000
9.245 2.560 0.000
-1.418 0.000 7.098
Nd Sm Y
1 7 2
Direct
0.000 0.000 0.000
0.000 0.000 0.500
0.200 0.200 0.100
0.399 0.399 0.201
0.399 0.399 0.699
0.601 0.601 0.301
0.601 0.601 0.799
0.800 0.800 0.900
0.200 0.200 0.600
0.800 0.800 0.400



Computed relative energies in units of kJ/mol of atoms: (A) 63.1; (B) 0.0



(A)
PBE NdSm5Y, relaxed; volume = 34.0 Å³/atom; spin magnetization = 0.00 μB per cell
1.0
5.984 -3.435 0.000
5.984 3.435 0.000
-4.513 0.000 11.586
Nd Sm Y
2 10 2
Direct
0.030 0.970 0.750
0.970 0.030 0.250
0.155 0.409 0.753
0.186 0.657 0.500
0.343 0.814 0.000
0.409 0.155 0.253
0.410 0.590 0.250
0.590 0.410 0.750
0.591 0.845 0.747
0.657 0.186 0.000
0.814 0.343 0.500
0.845 0.591 0.247
0.000 0.500 0.000
0.500 0.000 0.500



(B)
PBE NdSm5Y, relaxed; volume = 34.2 Å³/atom; spin magnetization = 0.00 μB per cell
1.0
6.065 -3.334 0.000
6.065 3.334 0.000
-2.766 0.000 11.849
Nd Sm Y
2 10 2
Direct
0.000 0.500 0.000
0.500 0.000 0.500
0.016 0.984 0.250
0.032 0.495 0.708
0.208 0.705 0.514
0.295 0.792 0.986
0.495 0.032 0.208
0.505 0.968 0.792
0.705 0.208 0.014
0.792 0.295 0.486
0.968 0.505 0.292
0.984 0.016 0.750
0.467 0.533 0.250
0.533 0.467 0.750



Computed relative energies in units of kJ/mol of atoms: (A) 0.0; (B) 2.6



(A)
PBE Nd2Sm3Y6, relaxed; volume = 34.9 Å³/atom; spin magnetization = 0.00 μB per cell
1.0
-2.388 2.388 16.838
2.388 -2.388 16.838
2.388 2.388 -16.838
Nd Sm Y
2 3 6
Direct
0.045 0.045 0.000
0.955 0.955 0.000
0.300 0.300 0.000
0.500 0.500 0.000
0.700 0.700 0.000
0.121 0.621 0.500
0.198 0.198 0.000
0.379 0.879 0.500
0.621 0.121 0.500
0.802 0.802 0.000
0.879 0.379 0.500



(B)
PBE Nd2Sm3Y6, relaxed; volume = 35.1 Å³/atom; spin magnetization = 0.00 μB per cell
1.0
3.099 -5.377 0.000
3.099 5.377 0.000
-2.081 0.000 11.573
Nd Sm Y
2 3 6
Direct
0.167 0.833 0.000
0.833 0.167 0.000
0.000 0.000 0.500
0.336 0.664 0.500
0.664 0.336 0.500
0.084 0.417 0.750
0.251 0.251 0.250
0.417 0.084 0.750
0.583 0.916 0.250
0.749 0.749 0.750
0.916 0.583 0.250



Computed relative energies in units of kJ/mol of atoms: (A) 8.3; (B) 0.0